Entry from the Alexandria database: an optimized crystal structure of KRb2C2 (GGA-PBE).

The structure belongs to space group P4/mbm (No. 127); the cell edges are 8.829, 8.829 and 3.887 Å and the angles 90.00°, 90.00° and 90.00°. Symmetry generates all atoms from K at (0.000, 0.000, 0.000), Rb at (0.133, 0.367, 0.000) and C at (0.173, 0.673, 0.500).

The magnetization comes out at 10.000 μB per cell. The calculation puts the calculated total energy at -24.0 eV for the cell shown. The value obtained for the energy of formation is 1894 meV per atom.